No. 1
VASP calculation (GGA-PBEsol) on a relaxed LiMg2Br crystal.

It has space group P4/mmm (No. 123), with a = 5.088 Å, b = 5.088 Å, c = 3.588 Å, α = 90.00°, β = 90.00° and γ = 90.00°. The asymmetric unit holds Li at (0.000, 0.000, 0.000), Mg at (0.000, 0.500, 0.500) and Br at (0.500, 0.500, 0.000).

The uncorrected energy is -1.989 eV per atom.

---

No. 2
VASP calculation (GGA-PBEsol) on a relaxed Ba2Au crystal.

It has space group Fd-3m (No. 227, origin choice 2), with a = 15.390 Å, b = 15.390 Å, c = 15.390 Å, α = 90.00°, β = 90.00° and γ = 90.00°. The asymmetric unit holds Ba at (0.000, 0.000, 0.000), Ba at (0.064, 0.375, 0.875) and Au at (0.023, 0.023, 0.227).

For the formation energy, the calculation gives -36.44 kJ per mole of atoms.

---

No. 3
VASP calculation (GGA-PBEsol) on a relaxed CdRe2W crystal.

It has space group P4/mmm (No. 123), with a = 2.808 Å, b = 2.808 Å, c = 8.114 Å, α = 90.00°, β = 90.00° and γ = 90.00°. The asymmetric unit holds Cd at (0.000, 0.000, 0.000), Re at (0.500, 0.500, 0.269) and W at (0.000, 0.000, 0.500).

For the formation energy, the calculation gives 46.34 kJ per mole of atoms.